1) Ba3NaZn | PBE-GGA | relaxed

The structure in POSCAR format:
```
Ba3NaZn
1.0
6.5654 0.0000 0.0000
0.0000 6.5654 0.0000
0.0000 0.0000 6.5654
Ba Na Zn
3 1 1
direct
0.0000 0.0000 0.5000
0.0000 0.5000 0.0000
0.5000 0.0000 0.0000
0.5000 0.5000 0.5000
0.0000 0.0000 0.0000
```

Calculated values
Space-group type ... Pm-3m



2) Ba3NaZn | PBE-GGA | relaxed

The structure in POSCAR format:
```
Ba3NaZn
1.0
10.4211 0.0000 0.0000
0.0000 4.6926 0.0000
-4.4692 0.0000 9.7476
Ba Na Zn
6 2 2
direct
0.0733 0.2500 0.3124
0.2858 0.2500 0.9605
0.4096 0.7500 0.3158
0.5904 0.2500 0.6842
0.7142 0.7500 0.0395
0.9267 0.7500 0.6876
0.2867 0.7500 0.6480
0.7133 0.2500 0.3520
0.0596 0.7500 0.0481
0.9404 0.2500 0.9519
```

Calculated values
Space-group type ... P2_1/m



The relative energies come out as 1) 47; 2) 0, with values in meV per atom.



1) BaNaZr2 | PBE-GGA | relaxed

The structure in POSCAR format:
```
BaNaZr2
1.0
7.7589 0.0000 0.0000
0.0000 7.7589 0.0000
0.0000 0.0000 7.7589
Ba Na Zr
4 4 8
direct
0.0000 0.0000 0.0000
0.0000 0.5000 0.5000
0.5000 0.0000 0.5000
0.5000 0.5000 0.0000
0.0000 0.0000 0.5000
0.0000 0.5000 0.0000
0.5000 0.0000 0.0000
0.5000 0.5000 0.5000
0.2500 0.2500 0.2500
0.2500 0.2500 0.7500
0.2500 0.7500 0.2500
0.2500 0.7500 0.7500
0.7500 0.2500 0.2500
0.7500 0.2500 0.7500
0.7500 0.7500 0.2500
0.7500 0.7500 0.7500
```

Calculated values
Space-group type ... Fm-3m



2) BaNaZr2 | PBE-GGA | relaxed

The structure in POSCAR format:
```
BaNaZr2
1.0
4.3859 0.0000 0.0000
0.0000 4.3859 0.0000
0.0000 0.0000 24.8917
Ba Na Zr
4 4 8
direct
0.0000 0.0000 0.0000
0.0000 0.5000 0.2500
0.5000 0.0000 0.7500
0.5000 0.5000 0.5000
0.0000 0.0000 0.5000
0.0000 0.5000 0.7500
0.5000 0.0000 0.2500
0.5000 0.5000 0.0000
0.2384 0.2500 0.6250
0.2500 0.7384 0.8750
0.2500 0.7616 0.3750
0.2616 0.2500 0.1250
0.7384 0.7500 0.1250
0.7500 0.2384 0.3750
0.7500 0.2616 0.8750
0.7616 0.7500 0.6250
```

Calculated values
Space-group type ... I-42d



The relative energies come out as 1) 213; 2) 0, with values in meV per atom.



1) BaNa2Zr | PBE-GGA | relaxed

The structure in POSCAR format:
```
BaNa2Zr
1.0
9.4027 0.0000 0.0000
0.0000 9.4027 0.0000
0.0000 0.0000 6.8468
Ba Na Zr
4 8 4
direct
0.0000 0.0000 0.0000
0.0000 0.5000 0.2500
0.5000 0.0000 0.7500
0.5000 0.5000 0.5000
0.2273 0.2500 0.6250
0.2500 0.7273 0.8750
0.2500 0.7727 0.3750
0.2727 0.2500 0.1250
0.7273 0.7500 0.1250
0.7500 0.2273 0.3750
0.7500 0.2727 0.8750
0.7727 0.7500 0.6250
0.0000 0.0000 0.5000
0.0000 0.5000 0.7500
0.5000 0.0000 0.2500
0.5000 0.5000 0.0000
```

Calculated values
Space-group type ... I-42d



2) BaNa2Zr | PBE-GGA | relaxed

The structure in POSCAR format:
```
BaNa2Zr
1.0
8.3350 0.0000 0.0000
0.0000 8.3350 0.0000
0.0000 0.0000 8.3350
Ba Na Zr
4 8 4
direct
0.0000 0.0000 0.0000
0.0000 0.5000 0.5000
0.5000 0.0000 0.5000
0.5000 0.5000 0.0000
0.2500 0.2500 0.2500
0.2500 0.2500 0.7500
0.2500 0.7500 0.2500
0.2500 0.7500 0.7500
0.7500 0.2500 0.2500
0.7500 0.2500 0.7500
0.7500 0.7500 0.2500
0.7500 0.7500 0.7500
0.0000 0.0000 0.5000
0.0000 0.5000 0.0000
0.5000 0.0000 0.0000
0.5000 0.5000 0.5000
```

Calculated values
Space-group type ... Fm-3m



The relative energies come out as 1) 153; 2) 0, with values in meV per atom.



1) BaSrNdNbO6 | PBE-GGA | relaxed

The structure in POSCAR format:
```
BaSrNdNbO6
1.0
0.0000 4.3349 4.3349
4.3349 0.0000 4.3349
4.3349 4.3349 0.0000
Ba Sr Nd Nb O
1 1 1 1 6
direct
0.0000 0.0000 0.0000
0.5000 0.5000 0.5000
0.7500 0.7500 0.7500
0.2500 0.2500 0.2500
0.0174 0.0174 0.4826
0.0174 0.4826 0.0174
0.0174 0.4826 0.4826
0.4826 0.0174 0.0174
0.4826 0.0174 0.4826
0.4826 0.4826 0.0174
```

Calculated values
Space-group type ... F-43m



2) BaSrNdNbO6 | PBE-GGA | relaxed

The structure in POSCAR format:
```
BaSrNdNbO6
1.0
6.0469 0.0000 0.0000
0.0201 6.0994 0.0000
0.0707 0.0541 8.5782
Ba Sr Nd Nb O
2 2 2 2 12
direct
0.0062 0.0268 0.2498
0.9938 0.9732 0.7502
0.4908 0.5343 0.2489
0.5092 0.4657 0.7511
0.0000 0.5000 0.0000
0.5000 0.0000 0.5000
0.0000 0.5000 0.5000
0.5000 0.0000 0.0000
0.0877 0.5014 0.7297
0.1996 0.7624 0.4626
0.2332 0.8038 0.0289
0.2636 0.3026 0.4497
0.3115 0.2715 0.0496
0.4337 0.0428 0.7698
0.5663 0.9572 0.2302
0.6885 0.7285 0.9504
0.7364 0.6974 0.5503
0.7668 0.1962 0.9711
0.8004 0.2376 0.5374
0.9123 0.4986 0.2703
```

Calculated values
Space-group type ... P-1



The relative energies come out as 1) 55; 2) 0, with values in meV per atom.



1) Ba2NbNi | PBE-GGA | relaxed

The structure in POSCAR format:
```
Ba2NbNi
1.0
11.8877 0.0000 0.0000
0.0000 11.8877 0.0000
0.0000 0.0000 4.7167
Ba Nb Ni
8 4 4
direct
0.0792 0.2500 0.1250
0.2500 0.5792 0.3750
0.2500 0.9208 0.8750
0.4208 0.2500 0.6250
0.5792 0.7500 0.6250
0.7500 0.0792 0.8750
0.7500 0.4208 0.3750
0.9208 0.7500 0.1250
0.0000 0.0000 0.5000
0.0000 0.5000 0.7500
0.5000 0.0000 0.2500
0.5000 0.5000 0.0000
0.0000 0.0000 0.0000
0.0000 0.5000 0.2500
0.5000 0.0000 0.7500
0.5000 0.5000 0.5000
```

Calculated values
Space-group type ... I-42d



2) Ba2NbNi | PBE-GGA | relaxed

The structure in POSCAR format:
```
Ba2NbNi
1.0
8.0223 0.0000 0.0000
0.0000 8.0223 0.0000
0.0000 0.0000 8.0223
Ba Nb Ni
8 4 4
direct
0.2500 0.2500 0.2500
0.2500 0.2500 0.7500
0.2500 0.7500 0.2500
0.2500 0.7500 0.7500
0.7500 0.2500 0.2500
0.7500 0.2500 0.7500
0.7500 0.7500 0.2500
0.7500 0.7500 0.7500
0.0000 0.0000 0.0000
0.0000 0.5000 0.5000
0.5000 0.0000 0.5000
0.5000 0.5000 0.0000
0.0000 0.0000 0.5000
0.0000 0.5000 0.0000
0.5000 0.0000 0.0000
0.5000 0.5000 0.5000
```

Calculated values
Space-group type ... Fm-3m



The relative energies come out as 1) 0; 2) 274, with values in meV per atom.



1) Ba4Nb2O9 | PBE-GGA | relaxed

The structure in POSCAR format:
```
Ba4Nb2O9
1.0
6.0285 0.0000 0.0000
-3.0142 5.2208 0.0000
0.0000 0.0000 8.4574
Ba Nb O
4 2 9
direct
0.0000 0.0000 0.0000
0.0000 0.0000 0.5000
0.3333 0.6667 0.2516
0.6667 0.3333 0.7484
0.3333 0.6667 0.6642
0.6667 0.3333 0.3358
0.0000 0.5000 0.5000
0.1744 0.3489 0.7757
0.1744 0.8256 0.7757
0.3489 0.1744 0.2243
0.5000 0.0000 0.5000
0.5000 0.5000 0.5000
0.6511 0.8256 0.7757
0.8256 0.1744 0.2243
0.8256 0.6511 0.2243
```

Calculated values
Space-group type ... P-3m1



2) Ba4Nb2O9 | PBE-GGA | relaxed

The structure in POSCAR format:
```
Ba4Nb2O9
1.0
6.1779 0.0000 0.0000
-3.0890 5.3502 0.0000
0.0000 0.0000 16.7488
Ba Nb O
8 4 18
direct
0.0000 0.0000 0.0000
0.0000 0.0000 0.2500
0.0000 0.0000 0.5000
0.0000 0.0000 0.7500
0.3333 0.6667 0.1362
0.3333 0.6667 0.3638
0.6667 0.3333 0.6362
0.6667 0.3333 0.8638
0.3333 0.6667 0.6588
0.3333 0.6667 0.8412
0.6667 0.3333 0.1588
0.6667 0.3333 0.3412
0.0432 0.5745 0.7500
0.1059 0.3565 0.6080
0.1059 0.3565 0.8920
0.2506 0.8941 0.6080
0.2506 0.8941 0.8920
0.3565 0.2506 0.1080
0.3565 0.2506 0.3920
0.4255 0.4687 0.7500
0.4687 0.0432 0.2500
0.5313 0.9568 0.7500
0.5745 0.5313 0.2500
0.6435 0.7494 0.6080
0.6435 0.7494 0.8920
0.7494 0.1059 0.1080
0.7494 0.1059 0.3920
0.8941 0.6435 0.1080
0.8941 0.6435 0.3920
0.9568 0.4255 0.2500
```

Calculated values
Space-group type ... P6_3/m



The relative energies come out as 1) 37; 2) 0, with values in meV per atom.